No. 1
This record from the Alexandria database describes a relaxed LaPuGa4 crystal. The functional is PBE.

Results
uncorrected energy: -5.332 eV/atom

```
data_LaPuGa4
_chemical_formula_sum 'La2 Pu2 Ga8'
_space_group_name_H-M_alt 'I m m m'
_space_group_IT_number 71
_space_group_name_Hall '-I 2 2'
_cell_length_a 4.444
_cell_length_b 7.402
_cell_length_c 7.886
_cell_angle_alpha 90.00
_cell_angle_beta 90.00
_cell_angle_gamma 90.00
loop_
_atom_site_label
_atom_site_type_symbol
_atom_site_fract_x
_atom_site_fract_y
_atom_site_fract_z
_atom_site_occupancy
La1 La 0.000 0.000 0.000 1
Pu1 Pu 0.000 0.500 0.000 1
Ga1 Ga 0.000 0.233 0.334 1
```

=====

No. 2
This record from the Alexandria database describes a relaxed LaPu2Ga4 crystal. The functional is PBE.

Results
uncorrected energy: -6.826 eV/atom

```
data_LaPu2Ga4
_chemical_formula_sum 'La2 Pu4 Ga8'
_space_group_name_H-M_alt 'I 4/m m m'
_space_group_IT_number 139
_space_group_name_Hall '-I 4 2'
_cell_length_a 7.703
_cell_length_b 7.703
_cell_length_c 4.765
_cell_angle_alpha 90.00
_cell_angle_beta 90.00
_cell_angle_gamma 90.00
loop_
_atom_site_label
_atom_site_type_symbol
_atom_site_fract_x
_atom_site_fract_y
_atom_site_fract_z
_atom_site_occupancy
La1 La 0.000 0.000 0.000 1
Pu1 Pu 0.000 0.500 0.250 1
Ga1 Ga 0.199 0.199 0.500 1
```

=====

No. 3
This record from the Alexandria database describes a relaxed LaPuGaSn crystal. The functional is PBE.

Results
uncorrected energy: -6.978 eV/atom

```
data_LaPuGaSn
_chemical_formula_sum 'La4 Pu4 Ga4 Sn4'
_space_group_name_H-M_alt 'F -4 3 m'
_space_group_IT_number 216
_space_group_name_Hall 'F -4 2 3'
_cell_length_a 7.583
_cell_length_b 7.583
_cell_length_c 7.583
_cell_angle_alpha 90.00
_cell_angle_beta 90.00
_cell_angle_gamma 90.00
loop_
_atom_site_label
_atom_site_type_symbol
_atom_site_fract_x
_atom_site_fract_y
_atom_site_fract_z
_atom_site_occupancy
La1 La 0.000 0.000 0.000 1
Pu1 Pu 0.000 0.000 0.500 1
Ga1 Ga 0.250 0.250 0.250 1
Sn1 Sn 0.250 0.250 0.750 1
```

=====

No. 4
This record from the Alexandria database describes a relaxed LaTmPuGa crystal. The functional is PBE.

Results
uncorrected energy: -6.702 eV/atom

```
data_LaTmPuGa
_chemical_formula_sum 'La4 Tm4 Pu4 Ga4'
_space_group_name_H-M_alt 'F -4 3 m'
_space_group_IT_number 216
_space_group_name_Hall 'F -4 2 3'
_cell_length_a 7.595
_cell_length_b 7.595
_cell_length_c 7.595
_cell_angle_alpha 90.00
_cell_angle_beta 90.00
_cell_angle_gamma 90.00
loop_
_atom_site_label
_atom_site_type_symbol
_atom_site_fract_x
_atom_site_fract_y
_atom_site_fract_z
_atom_site_occupancy
La1 La 0.000 0.000 0.000 1
Tm1 Tm 0.250 0.250 0.250 1
Pu1 Pu 0.000 0.000 0.500 1
Ga1 Ga 0.250 0.250 0.750 1
```

=====

Number 1: magnetization 0.0 μB per cell. Number 2: magnetization 7.2 μB per cell. Number 3: magnetization 23.2 μB per cell. Number 4: magnetization 26.5 μB per cell.